First-principles (PBE) data for a relaxed Na4Pu3HfSe8 crystal, as listed in Alexandria.

Output
Total DFT energy (no corrections): -6.738 eV per atom
Fermi-level density of states: 37.82 states/eV/cell

abc: 8.297 8.446 8.310
angles: 119.36 119.95 90.00
Element x y z (fractional)
Se1 0.764 0.726 0.995
Se2 0.231 0.726 0.995
Se3 0.231 0.725 0.463
Se4 0.769 0.275 0.537
Se5 0.746 0.736 0.492
Se6 0.236 0.274 0.005
Se7 0.769 0.274 0.005
Se8 0.254 0.264 0.508
Na1 0.000 0.000 0.500
Na2 0.500 0.000 0.000
Na3 0.000 0.000 0.000
Na4 0.500 0.000 0.500
Pu1 0.500 0.500 0.500
Pu2 0.000 0.500 0.500
Pu3 0.500 0.500 0.000
Hf1 0.000 0.500 0.000